(1)
CuPbAu3 PBE relaxed; space group = No. 194; energy above the most stable polymorph in this dataset = 0 meV/atom; energy of formation = 14 kJ/mol of formula units
1.0
-1.2678 -2.1816 -4.7665
3.9755 -5.1642 1.3065
-6.3981 -0.1946 1.7900
Cu Pb Au
2 2 6
Cartesian
0.0000 0.0000 0.0000 Cu
-0.6339 -1.0908 -2.3833 Cu
-0.4332 -5.1442 -2.1065 Pb
-3.2573 -2.3963 0.4364 Pb
-3.6702 -4.9862 -1.3192 Au
-1.0554 -4.8440 0.9721 Au
-0.0201 -2.5543 -0.3509 Au
-2.6349 -2.6964 -2.6421 Au
1.6784 -4.7606 0.2074 Au
-5.3687 -2.7798 -1.8775 Au

=====

(2)
CuPb2Au2 PBE relaxed; space group = No. 127; energy above the most stable polymorph in this dataset = 0 meV/atom; energy of formation = 35 kJ/mol of formula units
1.0
7.0208 0.0000 0.0000
0.0000 7.0208 0.0000
0.0000 0.0000 4.6756
Pb Au Cu
4 4 2
Cartesian
1.2041 4.7145 2.3378 Pb
4.7145 5.8167 2.3378 Pb
5.8167 2.3063 2.3378 Pb
2.3063 1.2041 2.3378 Pb
2.4745 5.9849 0.0000 Au
5.9849 4.5464 0.0000 Au
4.5464 1.0360 0.0000 Au
1.0360 2.4745 0.0000 Au
0.0000 0.0000 0.0000 Cu
3.5104 3.5104 0.0000 Cu

=====

(3)
Cu2Pb2Au PBE relaxed; space group = No. 127; energy above the most stable polymorph in this dataset = 178 meV/atom; energy of formation = 138 kJ/mol of formula units
1.0
8.0169 0.0000 0.0000
0.0000 8.0169 0.0000
0.0000 0.0000 3.3624
Pb Au Cu
4 2 4
Cartesian
2.5287 6.5371 0.0000 Pb
6.5371 5.4882 0.0000 Pb
5.4882 1.4798 0.0000 Pb
1.4798 2.5287 0.0000 Pb
0.0000 0.0000 0.0000 Au
4.0084 4.0084 0.0000 Au
0.8734 4.8818 1.6812 Cu
4.8818 7.1435 1.6812 Cu
7.1435 3.1351 1.6812 Cu
3.1351 0.8734 1.6812 Cu